The following is a PBE calculation of an optimized crystal structure of Mg2SnPd, from OQMD via LeMat-Bulk.

Unit cell a=4.7554 b=4.7554 c=4.7554 alpha=60.00 beta=60.00 gamma=60.00
Last column: nearest neighbours and their distance in Å.
Positions (direct):
Pd  0.2500  0.2500  0.2500  4 Sn 2.91, 4 Mg 2.91
Mg  0.7500  0.7500  0.7500  4 Sn 2.91, 4 Mg 2.91
Sn  0.5000  0.5000  0.5000  4 Pd 2.91, 4 Mg 2.91
Mg  0.0000  0.0000  0.0000  4 Mg 2.91, 4 Pd 2.91

Properties
uncorrected energy: -0.24956 Ry per atom